[1]
Entry from the Open Quantum Materials Database: an optimized crystal structure of LiNdCdS3 (PBE).

E_tot: -4.672 eV per atom
Energy relative to the lowest polymorph listed for this composition: 0.0 meV/atom

The structure in CIF format:
```
data_LiNdCdS3
_space_group_name_H-M_alt 'P n m a'
_space_group_IT_number 62
_space_group_name_Hall '-P 2ac 2n'
_cell_length_a 11.225
_cell_length_b 3.993
_cell_length_c 11.547
_cell_angle_alpha 90.00
_cell_angle_beta 90.00
_cell_angle_gamma 90.00
loop_
_atom_site_label
_atom_site_type_symbol
_atom_site_fract_x
_atom_site_fract_y
_atom_site_fract_z
_atom_site_occupancy
Li1 Li 0.123 0.250 0.075 1
Nd1 Nd 0.124 0.250 0.755 1
Cd1 Cd 0.129 0.250 0.410 1
S1 S 0.122 0.750 0.578 1
S2 S 0.126 0.750 0.246 1
S3 S 0.126 0.750 0.924 1
```


[2]
Entry from the Open Quantum Materials Database: an optimized crystal structure of LiNdCdSe3 (PBE).

E_tot: -4.249 eV per atom
Energy relative to the lowest polymorph listed for this composition: 0.0 meV/atom

The structure in CIF format:
```
data_LiNdCdSe3
_space_group_name_H-M_alt 'P 1 21/m 1'
_space_group_IT_number 11
_space_group_name_Hall '-P 2yb'
_cell_length_a 7.844
_cell_length_b 4.213
_cell_length_c 10.639
_cell_angle_alpha 90.00
_cell_angle_beta 102.01
_cell_angle_gamma 90.00
loop_
_atom_site_label
_atom_site_type_symbol
_atom_site_fract_x
_atom_site_fract_y
_atom_site_fract_z
_atom_site_occupancy
Li1 Li 0.174 0.250 0.117 1
Nd1 Nd 0.330 0.750 0.850 1
Cd1 Cd 0.067 0.250 0.610 1
Se1 Se 0.060 0.250 0.859 1
Se2 Se 0.253 0.750 0.556 1
Se3 Se 0.407 0.750 0.136 1
```


[3]
Entry from the Open Quantum Materials Database: an optimized crystal structure of LiNdCdSe3 (PBE).

E_tot: -4.180 eV per atom
Energy relative to the lowest polymorph listed for this composition: 69.2 meV/atom

The structure in CIF format:
```
data_LiNdCdSe3
_space_group_name_H-M_alt 'C m c m'
_space_group_IT_number 63
_space_group_name_Hall '-C 2c 2'
_cell_length_a 4.176
_cell_length_b 13.195
_cell_length_c 11.404
_cell_angle_alpha 90.00
_cell_angle_beta 90.00
_cell_angle_gamma 90.00
loop_
_atom_site_label
_atom_site_type_symbol
_atom_site_fract_x
_atom_site_fract_y
_atom_site_fract_z
_atom_site_occupancy
Li1 Li 0.000 0.231 0.250 1
Nd1 Nd 0.000 0.000 0.000 1
Cd1 Cd 0.000 0.477 0.750 1
Se1 Se 0.000 0.104 0.750 1
Se2 Se 0.000 0.353 0.571 1
```


[4]
Entry from the Open Quantum Materials Database: an optimized crystal structure of LiNdCdSe3 (PBE).

E_tot: -4.161 eV per atom
Energy relative to the lowest polymorph listed for this composition: 88.9 meV/atom

The structure in CIF format:
```
data_LiNdCdSe3
_space_group_name_H-M_alt 'C 1 2/m 1'
_space_group_IT_number 12
_space_group_name_Hall '-C 2y'
_cell_length_a 17.994
_cell_length_b 4.149
_cell_length_c 8.961
_cell_angle_alpha 90.00
_cell_angle_beta 106.84
_cell_angle_gamma 90.00
loop_
_atom_site_label
_atom_site_type_symbol
_atom_site_fract_x
_atom_site_fract_y
_atom_site_fract_z
_atom_site_occupancy
Li1 Li 0.104 0.000 0.073 1
Nd1 Nd 0.181 0.000 0.617 1
Cd1 Cd 0.016 0.500 0.716 1
Se1 Se 0.000 0.000 0.500 1
Se2 Se 0.000 0.500 0.000 1
Se3 Se 0.157 0.500 0.365 1
Se4 Se 0.172 0.500 0.840 1
```


> Number 4 is which compound?

LiNdCdSe3


> What is the energy relative to the lowest polymorph listed for this composition in the first record?

0.0 meV/atom